Entry from the Alexandria database: crystalline LiScPd2 at its relaxed geometry (PBE-GGA).

```
LiScPd2
1.0
-4.7205 -1.8665 4.6149
4.9756 -1.5719 4.4537
0.0637 0.9367 5.5431
Pd Li Sc
4 2 2
direct
0.6062 0.1250 0.2500
0.8750 0.8562 0.7500
0.1438 0.6250 0.2500
0.3750 0.3938 0.7500
0.2500 0.7500 0.5000
0.5000 0.5000 0.0000
0.0000 0.0000 0.0000
0.7500 0.2500 0.5000
```

## Properties
* ΔH_f (0 K): -0.481 eV/atom
* E_tot: -5.138 eV/atom
* SG: I-42d (122)
* D(E_F): 0.45 states/eV/f.u.